(1)
The following is a SCAN calculation of a PBEsol-optimized structure of Si2HgRu, from Alexandria.

Values from the calculation:
Space group: P4/mmm
VASP energy (eV/f.u.): -120.97

Unit cell a=3.0677 b=4.4447 c=4.4447 alpha=90.00 beta=90.00 gamma=90.00
Atoms (fractional coordinates):
Ru (0.5000, 0.0000, 0.0000)
Si (0.0000, 0.5000, 0.0000)
Hg (0.5000, 0.5000, 0.5000)
Si (0.0000, 0.0000, 0.5000)

=====

(2)
The following is a SCAN calculation of a PBEsol-optimized structure of NaCdAgCl2, from Alexandria.

Values from the calculation:
Space group: P4/mmm
VASP energy (eV/f.u.): -83.68

Unit cell a=4.9763 b=4.9763 c=5.3984 alpha=90.00 beta=90.00 gamma=90.00
Atoms (fractional coordinates):
Cd (0.0000, 0.0000, 0.5000)
Cl (0.0000, 0.5000, 0.0000)
Cl (0.5000, 0.0000, 0.0000)
Ag (0.5000, 0.5000, 0.5000)
Na (0.0000, 0.0000, 0.0000)

=====

(3)
The following is a SCAN calculation of a PBEsol-optimized structure of La2Ti2ZnO8, from Alexandria.

Values from the calculation:
Space group: P-4m2
VASP energy (eV/f.u.): -224.03

Unit cell a=3.6771 b=3.6771 c=12.6256 alpha=90.00 beta=90.00 gamma=90.00
Atoms (fractional coordinates):
Zn (0.5000, 0.5000, 0.0000)
O (0.0000, 0.0000, 0.7473)
O (0.0000, 0.5000, 0.9344)
O (0.5000, 0.5000, 0.2485)
O (0.5000, 0.5000, 0.7515)
O (0.0000, 0.5000, 0.5736)
O (0.0000, 0.0000, 0.2527)
O (0.5000, 0.0000, 0.0656)
La (0.0000, 0.5000, 0.3855)
Ti (0.0000, 0.5000, 0.7919)
Ti (0.5000, 0.0000, 0.2081)
O (0.5000, 0.0000, 0.4264)
La (0.5000, 0.0000, 0.6145)

=====

(4)
The following is a SCAN calculation of a PBEsol-optimized structure of GaNi3Ir, from Alexandria.

Values from the calculation:
Formation enthalpy at 0 K (eV per atom): 1.174
Space group: Pm-3m

Unit cell a=4.1406 b=4.1406 c=4.1406 alpha=90.00 beta=90.00 gamma=90.00
Atoms (fractional coordinates):
Ni (0.0000, 0.0000, 0.5000)
Ni (0.0000, 0.5000, 0.0000)
Ni (0.5000, 0.0000, 0.0000)
Ir (0.5000, 0.5000, 0.5000)
Ga (0.0000, 0.0000, 0.0000)